# Na2ZnSb2

A crystal of Na2ZnSb2 relaxed with PBEsol (SCAN, Alexandria via LeMat-Bulk).

Unit cell a=7.195 b=7.195 c=5.049 alpha=90.00 beta=90.00 gamma=90.00
Sites, in units of the cell vectors:
Na 0.165 0.335 0.000
Na 0.335 0.835 0.000
Na 0.665 0.165 0.000
Na 0.835 0.665 0.000
Zn 0.000 0.000 0.500
Zn 0.500 0.500 0.500
Sb 0.145 0.645 0.500
Sb 0.355 0.145 0.500
Sb 0.645 0.855 0.500
Sb 0.855 0.355 0.500

formation energy (no corrections): -0.28 eV per atom
DOS at the Fermi energy: 1.24 states/eV per cell
final energy: -19.577 eV/atom
SG: No. 127